Compound: Na2MnNiO4
Source: Alexandria
Functional: PBE+U
Structure: optimized geometry

The space group is R-3m (No. 166, hexagonal axes) and the conventional cell measures 3.0549, 3.0549 and 32.0903 Å, with angles of 90.00, 90.00 and 120.00 degrees. The inequivalent atoms are Na at (0.0000, 0.0000, 0.2464), Mn at (0.0000, 0.0000, 0.0000), Ni at (0.0000, 0.0000, 0.5000), O at (0.0000, 0.0000, 0.1339) and O at (0.0000, 0.0000, 0.3664).

Its density of states at the Fermi level is 18.155 states/eV per cell. The value obtained for the distance to the lowest polymorph of the same formula is 0.000 eV/atom. The calculation puts the raw total energy at -5.4118 eV/atom.